Entry from the Alexandria database: crystalline Si2SnAu2 at its relaxed geometry (PBE-GGA).

Calculated values
* raw formation energy: 284 meV per atom
* calculated volume: 19.3 A^3/atom
* distance to the lowest polymorph of the same formula: 161 meV per atom

a = 7.905 Å, b = 7.905 Å, c = 3.083 Å
α = 90.00°, β = 90.00°, γ = 90.00°
Sites, in units of the cell vectors:
Si  0.338  0.838  0.000
Si  0.838  0.662  0.000
Si  0.662  0.162  0.000
Si  0.162  0.338  0.000
Au  0.133  0.633  0.500
Au  0.633  0.867  0.500
Au  0.867  0.367  0.500
Au  0.367  0.133  0.500
Sn  0.000  0.000  0.000
Sn  0.500  0.500  0.000